Compound: MgAlP4
Source: Alexandria via LeMat-Bulk
Functional: PBE
Structure: relaxed

For the total energy, the calculation gives -0.1503 hartree per atom. The space group is F-43m, No. 216. The energy of formation from the pure elements is 0.41 eV per atom. For the magnetic moment, the calculation gives 0.0 μB per formula unit.

Unit cell a=5.167 b=5.167 c=5.167 alpha=60.00 beta=60.00 gamma=60.00
Atoms (fractional coordinates):
Mg: 0.000 0.000 0.000
P: 0.376 0.376 0.873
P: 0.873 0.376 0.376
P: 0.376 0.873 0.376
P: 0.376 0.376 0.376
Al: 0.750 0.750 0.750